No. 1
GeAs2WSe after structural relaxation. Source: Alexandria via LeMat-Bulk, functional GGA-PBE.

Structure (POSCAR):
```
GeAs2WSe
1.0
4.8888 0.0000 0.0000
0.0000 4.8888 0.0000
0.0000 0.0000 5.0126
Ge As W Se
1 2 1 1
direct
0.0000 0.0000 0.0000
0.0000 0.5000 0.5000
0.5000 0.0000 0.5000
0.5000 0.5000 0.5000
0.5000 0.5000 0.0000
```

Results
Theoretical density in g/cm3: 6.726
Energy relative to the lowest polymorph listed for this composition in eV/atom: 0.000
DOS at the Fermi energy in states/eV/cell: 4.31
ΔE_f (raw) in eV/atom: 0.626
Calculated volume in Å³/cell: 119.80



No. 2
SmFe2GeN after structural relaxation. Source: Alexandria via LeMat-Bulk, functional GGA-PBE.

Structure (POSCAR):
```
SmFe2GeN
1.0
1.8987 -5.3320 0.0000
1.8987 5.3320 0.0000
0.0000 0.0000 6.8995
Sm Fe Ge N
2 4 2 2
direct
0.0505 0.9495 0.7500
0.9495 0.0505 0.2500
0.3401 0.6599 0.5580
0.3401 0.6599 0.9420
0.6599 0.3401 0.0580
0.6599 0.3401 0.4420
0.2287 0.7713 0.2500
0.7713 0.2287 0.7500
0.5000 0.5000 0.0000
0.5000 0.5000 0.5000
```

Results
Theoretical density in g/cm3: 8.290
DOS at the Fermi energy in states/eV/cell: 8.50
ΔE_f (raw) in eV/atom: -0.652
Calculated volume in Å³/cell: 139.70



No. 3
BaTl2Co after structural relaxation. Source: Alexandria via LeMat-Bulk, functional GGA-PBE.

Structure (POSCAR):
```
BaTl2Co
1.0
3.2351 -6.0159 0.0000
3.2351 6.0159 0.0000
-1.9612 0.0000 3.0928
Ba Tl Co
1 2 1
direct
0.0000 0.0000 0.0000
0.0000 0.5000 0.5000
0.5000 0.0000 0.5000
0.5000 0.5000 0.0000
```

Results
Theoretical density in g/cm3: 8.345
DFT formation energy in eV per atom: 0.499
DOS at the Fermi energy in states/eV/cell: 5.91
Calculated volume in Å³/cell: 120.39



No. 4
Rb14CdAu after structural relaxation. Source: Alexandria via LeMat-Bulk, functional GGA-PBE.

Structure (POSCAR):
```
Rb14CdAu
1.0
13.2854 0.0000 0.0000
0.0000 6.0867 7.6060
0.0000 -6.0867 7.6060
Rb Cd Au
14 1 1
direct
0.0000 0.0000 0.0000
0.0000 0.4485 0.4485
0.0000 0.5150 0.9330
0.0000 0.9330 0.5150
0.2628 0.2126 0.2126
0.2976 0.8302 0.8302
0.3239 0.3125 0.6851
0.3239 0.6851 0.3125
0.5000 0.0174 0.4657
0.5000 0.4657 0.0174
0.6761 0.3125 0.6851
0.6761 0.6851 0.3125
0.7024 0.8302 0.8302
0.7372 0.2126 0.2126
0.5000 0.0300 0.0300
0.5000 0.3839 0.3839
```

Results
Theoretical density in g/cm3: 2.033
DFT formation energy in eV per atom: -0.010
DOS at the Fermi energy in states/eV/cell: 12.49
Calculated volume in Å³/cell: 1230.11



No. 5
HfAgPd5 after structural relaxation. Source: Alexandria via LeMat-Bulk, functional GGA-PBE.

Structure (POSCAR):
```
HfAgPd5
1.0
3.9528 0.0000 0.0000
0.0000 3.9528 0.0000
0.0000 0.0000 7.8324
Hf Ag Pd
1 1 5
direct
0.0000 0.0000 0.0000
0.5000 0.5000 0.5000
0.0000 0.0000 0.5000
0.0000 0.5000 0.2327
0.0000 0.5000 0.7673
0.5000 0.0000 0.2327
0.5000 0.0000 0.7673
```

Results
Theoretical density in g/cm3: 11.105
DFT formation energy in eV per atom: -0.287
Energy relative to the lowest polymorph listed for this composition in eV/atom: 0.000
DOS at the Fermi energy in states/eV/cell: 2.42
Calculated volume in Å³/cell: 122.38



No. 6
ErMgBr6 after structural relaxation. Source: Alexandria via LeMat-Bulk, functional GGA-PBE.

Structure (POSCAR):
```
ErMgBr6
1.0
6.8411 0.0000 0.0000
-3.4198 5.9305 0.0000
-3.3786 -1.9657 6.1303
Er Mg Br
1 1 6
direct
0.0000 0.0000 0.0000
0.0000 0.5000 0.5000
0.1632 0.7428 0.2518
0.1656 0.9114 0.7437
0.4908 0.5815 0.7452
0.5092 0.4185 0.2548
0.8344 0.0886 0.2563
0.8368 0.2572 0.7482
```

Results
Theoretical density in g/cm3: 4.480
DOS at the Fermi energy in states/eV/cell: 13.24
ΔE_f (raw) in eV/atom: -1.317
Calculated volume in Å³/cell: 248.71



Question: What is the calculated volume in the fourth record?
Answer: 1230.11 Å³/cell



Question: Which value of theoretical density does entry 5 give?
Answer: 11.105 g/cm3